a:
Computed, not measured: ZrU2Se5 after structural relaxation at the PBE level of DFT.

Calculated values
Magnetization in μB per atom: 0.767

a b c (Å): 6.9038 6.9038 4.7418
angles (deg): 90.00 90.00 90.00
Last column: nearest neighbours and their distance in Å.
Space group P4/mmm (No. 123)
Unique sites:
Zr 0.0000 0.0000 0.0000 x1  2 Se 2.37
U 0.0000 0.5000 0.5000 x2  10 Se 3.41-3.45
Se 0.0000 0.0000 0.5000 x1  2 Zr 2.37
Se 0.2735 0.2735 0.0000 x4  1 Zr 2.67



b:
Computed, not measured: ZrU2Se5 after structural relaxation at the PBE level of DFT.

Calculated values
Magnetization in μB per atom: 0.716

a b c (Å): 5.6136 12.8565 13.0838
angles (deg): 90.00 90.00 90.00
Last column: nearest neighbours and their distance in Å.
Space group Cmcm (No. 63)
Unique sites:
Zr 0.0000 0.2155 0.2500 x4  6 Se 2.68-2.81
U 0.0000 0.1557 0.5610 x8  6 Se 2.78-2.95
Se 0.0000 0.0502 0.1249 x8  1 Zr 2.68, 2 U 2.78
Se 0.0000 0.2719 0.7500 x4  2 Zr 2.81, 2 U 2.89
Se 0.0000 0.3385 0.0748 x8  1 Zr 2.78, 3 U 2.81-2.95



Relative calculated energies, zero for the most stable structure, unit kJ/mol of atoms: a 53.9; b 0.0.



a:
Computed, not measured: Zr2USe6 after structural relaxation at the PBE level of DFT.

Calculated values
Magnetization in μB per atom: 0.224

a b c (Å): 6.7588 6.7588 6.7275
angles (deg): 90.00 90.00 120.00
Last column: nearest neighbours and their distance in Å.
Space group P-31m (No. 162)
Unique sites:
Zr 0.3333 0.6667 0.0000 x2  6 Se 2.73
U 0.0000 0.0000 0.0000 x1  6 Se 2.79
Se 0.0000 0.3410 0.7661 x6  2 Zr 2.73, 1 U 2.79



b:
Computed, not measured: Zr2USe6 after structural relaxation at the PBE level of DFT.

Calculated values
Magnetization in μB per atom: 0.222

a b c (Å): 13.7995 5.0028 9.2406
angles (deg): 90.00 126.96 90.00
Last column: nearest neighbours and their distance in Å.
Space group C2/m (No. 12)
Unique sites:
Zr 0.1768 0.0000 0.1132 x4  6 Se 2.61-2.91
U 0.0000 0.0000 0.5000 x2  8 Se 2.96-3.09
Se 0.0381 0.0000 0.2172 x4  2 Zr 2.61-2.69
Se 0.1309 0.5000 0.5446 x4  1 Zr 2.64
Se 0.2492 0.0000 0.8758 x4  3 Zr 2.68-2.91



Relative calculated energies, zero for the most stable structure, unit kJ/mol of atoms: a 0.0; b 14.3.



a:
Computed, not measured: ZrUSe3 after structural relaxation at the PBE level of DFT.

Calculated values
Magnetization in μB per atom: 0.469

a b c (Å): 3.9520 20.3472 6.8515
angles (deg): 90.00 90.00 90.00
Last column: nearest neighbours and their distance in Å.
Space group Cmc2_1 (No. 36)
Unique sites:
Zr 0.0000 0.1666 0.0000 x4  6 Se 2.70-2.84
U 0.0000 0.3375 0.9984 x4  6 Se 2.80-2.91
Se 0.0000 0.0873 0.6824 x4  1 Zr 2.71, 2 U 2.80
Se 0.0000 0.2508 0.3301 x4  3 Zr 2.84, 3 U 2.88-2.91
Se 0.0000 0.4085 0.6489 x4  2 Zr 2.70, 1 U 2.80



b:
Computed, not measured: ZrUSe3 after structural relaxation at the PBE level of DFT.

Calculated values
Magnetization in μB per atom: 0.485

a b c (Å): 7.4965 3.9481 15.2959
angles (deg): 90.00 90.00 90.00
Last column: nearest neighbours and their distance in Å.
Space group Pnma (No. 62)
Unique sites:
Zr 0.2444 0.2500 0.0473 x4  7 Se 2.75-2.94
U 0.1132 0.7500 0.2994 x4  7 Se 2.85-3.13
Se 0.0042 0.7500 0.1018 x4  3 Zr 2.80-2.94, 1 U 3.13
Se 0.1195 0.2500 0.4376 x4  3 Zr 2.78-2.82, 2 U 2.89
Se 0.1634 0.7500 0.7216 x4  1 Zr 2.75, 4 U 2.85-2.88



Relative calculated energies, zero for the most stable structure, unit kJ/mol of atoms: a 4.9; b 0.0.



a:
Computed, not measured: ZrUSe2 after structural relaxation at the PBE level of DFT.

Calculated values
Magnetization in μB per atom: 0.881

a b c (Å): 3.5778 3.5778 27.7533
angles (deg): 90.00 90.00 120.00
Last column: nearest neighbours and their distance in Å.
Space group R-3m (No. 166, hexagonal axes)
Unique sites:
Zr 0.0000 0.0000 0.0000 x3  6 Se 2.70
U 0.0000 0.0000 0.5000 x3  2 Se 2.88
Se 0.0000 0.0000 0.3961 x6  3 Zr 2.70, 1 U 2.88



b:
Computed, not measured: ZrUSe2 after structural relaxation at the PBE level of DFT.

Calculated values
Magnetization in μB per atom: 0.719

a b c (Å): 3.6544 3.6544 22.7864
angles (deg): 90.00 90.00 120.00
Last column: nearest neighbours and their distance in Å.
Space group R3m (No. 160, hexagonal axes)
Unique sites:
Zr 0.0000 0.0000 0.0000 x3  6 Se 2.73-2.77
U 0.0000 0.0000 0.1685 x3  6 Se 2.92-2.94
Se 0.0000 0.0000 0.5905 x3  3 Zr 2.73, 3 U 2.92
Se 0.0000 0.0000 0.7456 x3  3 Zr 2.77, 3 U 2.94



Relative calculated energies, zero for the most stable structure, unit kJ/mol of atoms: a 41.7; b 0.0.